PmDy3Pd2 after structural relaxation, computed with PBE.

The structure in POSCAR format:
```
PmDy3Pd2
1.0
3.810 0.000 0.000
0.000 8.580 0.000
0.000 0.000 9.693
Pm Dy Pd
2 6 4
Cartesian
1.905 4.395 5.531
1.905 0.105 4.162
0.000 4.197 9.037
0.000 8.487 0.656
1.905 5.701 2.028
1.905 1.411 7.665
0.000 2.871 2.763
0.000 7.161 6.931
1.905 6.554 8.940
1.905 2.264 0.753
0.000 2.022 5.654
0.000 6.312 4.039
```

Energy relative to the lowest polymorph listed for this composition in meV per atom: 0
ΔE_f in eV/atom: -0.5760

=====

SmReC2 after structural relaxation, computed with PBE.

The structure in POSCAR format:
```
SmReC2
1.0
3.264 0.000 0.000
1.632 2.827 0.000
1.632 0.942 5.592
Re C Sm
1 2 1
Cartesian
0.000 0.000 0.000
4.896 2.827 4.461
1.632 0.942 1.131
3.264 1.885 2.796
```

Energy relative to the lowest polymorph listed for this composition in meV per atom: 0
ΔE_f in eV/atom: 0.1835

=====

ErCuNi after structural relaxation, computed with PBE.

The structure in POSCAR format:
```
ErCuNi
1.0
-2.696 -1.085 -1.669
1.928 -2.122 -1.735
-0.269 -1.504 4.776
Ni Cu Er
1 1 1
Cartesian
-0.351 -1.673 1.655
-0.560 -2.443 -0.871
-0.966 -4.373 1.039
```

ΔE_f in eV/atom: -0.2258

=====

Ce2Pu2HgGe after structural relaxation, computed with PBE.

The structure in POSCAR format:
```
Ce2Pu2HgGe
1.0
4.915 0.000 0.000
-2.457 4.256 0.000
0.000 0.000 6.896
Ce Pu Hg Ge
2 2 1 1
Cartesian
2.457 1.419 1.462
0.000 2.838 5.434
2.457 1.419 4.572
0.000 2.838 2.325
0.000 0.000 0.000
0.000 0.000 3.448
```

ΔE_f in eV/atom: -0.2387

=====

LaInRe after structural relaxation, computed with PBE.

The structure in POSCAR format:
```
LaInRe
1.0
6.560 -0.222 0.175
5.762 3.077 0.663
0.797 -0.298 3.321
In La Re
1 1 1
Cartesian
1.201 -0.188 3.234
4.378 0.681 2.550
8.337 1.765 1.697
```

Energy relative to the lowest polymorph listed for this composition in meV per atom: 0
ΔE_f in eV/atom: 0.3408

=====

DyPuNp2P4 after structural relaxation, computed with PBE.

The structure in POSCAR format:
```
DyPuNp2P4
1.0
3.968 0.000 0.000
0.000 6.856 0.113
0.000 -2.403 6.481
Dy Pu Np P
1 1 2 4
Cartesian
1.984 3.428 0.056
0.000 0.000 0.000
1.984 -1.201 3.240
0.000 2.227 3.297
1.984 1.098 1.670
1.984 3.355 4.924
0.000 -0.104 4.855
0.000 4.557 1.739
```

ΔE_f in eV/atom: -1.0931

=====

What is the ΔE_f in the second record?
0.1835 eV/atom

=====

The lowest ΔE_f belongs to which entry?
DyPuNp2P4

=====

Which value of ΔE_f does entry 5 give?
0.3408 eV/atom

=====

Copy entry 4 word for word.
Ce2Pu2HgGe after structural relaxation, computed with PBE.

The structure in POSCAR format:
```
Ce2Pu2HgGe
1.0
4.915 0.000 0.000
-2.457 4.256 0.000
0.000 0.000 6.896
Ce Pu Hg Ge
2 2 1 1
Cartesian
2.457 1.419 1.462
0.000 2.838 5.434
2.457 1.419 4.572
0.000 2.838 2.325
0.000 0.000 0.000
0.000 0.000 3.448
```

ΔE_f in eV/atom: -0.2387